PBEsol MnTlOs2, optimized geometry; symmetry = Cmm2; E = -8.33 eV/atom; E above lowest polymorph = 1.078 eV/f.u.
1.0
2.813 0.005 0.000
-1.342 2.472 0.000
0.000 0.000 9.159
Os Tl Mn
2 1 1
direct
0.000 0.000 0.007
0.500 0.500 0.769
0.000 0.000 0.495
0.500 0.500 0.229


PBEsol LaMgAs2, optimized geometry; symmetry = I-4m2; E = -5.06 eV/atom
1.0
-2.922 2.555 1.520
-1.599 -3.147 2.215
5.383 1.504 2.102
La As Mg
1 2 1
direct
0.500 0.500 0.000
0.000 0.000 0.001
0.750 0.250 0.500
0.250 0.750 0.500


Question: Which of these has the highest E?
Answer: LaMgAs2


Question: The lowest E belongs to which entry?
Answer: MnTlOs2